[1]
Te3PIr: optimized geometry, GGA-PBE.

Cell lengths 5.2085, 5.2085, 5.2085 Å; angles 90.00, 90.00, 90.00 degrees
Fractional coordinates of all 5 atoms:
P (0.5000, 0.5000, 0.5000)
Ir (0.0000, 0.0000, 0.0000)
Te (0.0000, 0.5000, 0.0000)
Te (0.0000, 0.0000, 0.5000)
Te (0.5000, 0.0000, 0.0000)

Results
excess energy over the best structure of this formula in the dataset	0	meV/atom
E_form (uncorrected)	0.87	eV per atom
density of states at the Fermi level	1.284	states/eV per atom
electronic total energy	-3.8673	eV/atom
symmetry	Pm-3m (221)

=====

[2]
Tb2InGa9: optimized geometry, GGA-PBE.

Cell lengths 4.2843, 4.2843, 13.2021 Å; angles 90.00, 90.00, 90.00 degrees
Fractional coordinates of all 12 atoms:
Tb (0.0000, 0.0000, 0.3393)
Tb (0.0000, 0.0000, 0.6607)
In (0.0000, 0.0000, 0.0000)
Ga (0.5000, 0.5000, 0.0000)
Ga (0.5000, 0.5000, 0.3385)
Ga (0.5000, 0.5000, 0.6615)
Ga (0.5000, 0.0000, 0.1696)
Ga (0.5000, 0.0000, 0.5000)
Ga (0.5000, 0.0000, 0.8304)
Ga (0.0000, 0.5000, 0.1696)
Ga (0.0000, 0.5000, 0.5000)
Ga (0.0000, 0.5000, 0.8304)

Results
density of states at the Fermi level	0.494	states/eV per atom
electronic total energy	-3.5761	eV/atom
ΔH_f (0 K)	-354	kJ/mol of formula units
symmetry	P4/mmm (123)

=====

Q: What is the density of states at the Fermi level in the second record?
A: 0.494 states/eV per atom